DFT (PBE-GGA) results for crystalline Cs2LiNp3O12 at its relaxed geometry.

a b c (Å): 7.5413 7.5413 7.5413
angles (deg): 63.76 63.76 63.76
Closest atoms and distances in Å follow each position.
Atoms (fractional coordinates):
Cs: 0.3761 0.3761 0.3761  6 O 3.35-3.43
O: 0.6817 0.6817 0.0676  2 Np 2.13
O: 0.3183 0.9324 0.3183  2 Np 2.13
O: 0.3279 0.9373 0.9373  1 Np 1.85
O: 0.3183 0.3183 0.9324  2 Np 2.13
O: 0.9373 0.3279 0.9373  1 Np 1.85
O: 0.0627 0.6721 0.0627  1 Np 1.85
O: 0.0627 0.0627 0.6721  1 Np 1.85
Np: 0.0000 0.0000 0.5000  2 O 1.85
O: 0.6721 0.0627 0.0627  1 Np 1.85
Cs: 0.6239 0.6239 0.6239  6 O 3.35-3.43
O: 0.9324 0.3183 0.3183  2 Np 2.13
O: 0.9373 0.9373 0.3279  1 Np 1.85
O: 0.6817 0.0676 0.6817  2 Np 2.13
Np: 0.5000 0.0000 0.0000  2 O 1.85
Np: 0.0000 0.5000 0.0000  2 O 1.85
Li: 0.0000 0.0000 0.0000  6 O 2.17
O: 0.0676 0.6817 0.6817  2 Np 2.13

Computed properties:
energy relative to the elements, uncorrected = -238.9 kJ per mole of atoms
uncorrected energy = -0.5982 Ry per atom